(1)
Entry from the Alexandria database: a geometry-optimized La2TmScS6 structure (PBE-GGA).

Cell: 6.6774 7.2954 9.7991 Å, 90.00 89.49 90.00°
Element x y z (fractional)
S: 0.8133 0.8150 0.9364
S: 0.6867 0.3150 0.5636
S: 0.3711 0.9586 0.7557
S: 0.8235 0.8071 0.5646
S: 0.1289 0.4586 0.7443
S: 0.1867 0.1850 0.0636
S: 0.6289 0.0414 0.2443
S: 0.6765 0.3071 0.9354
S: 0.3235 0.6929 0.0646
S: 0.8711 0.5414 0.2557
S: 0.1765 0.1929 0.4354
S: 0.3133 0.6850 0.4364
La: 0.9658 0.0930 0.7489
La: 0.4658 0.4070 0.2489
La: 0.5342 0.5930 0.7511
La: 0.0342 0.9070 0.2511
Tm: 0.5000 0.0000 0.5000
Tm: 0.0000 0.5000 0.0000
Sc: 0.5000 0.0000 0.0000
Sc: 0.0000 0.5000 0.5000

Values from the calculation:
E_form (uncorrected)   -2.114 eV per atom

***

(2)
Entry from the Alexandria database: a geometry-optimized LiPr2Zn structure (PBE-GGA).

Cell: 3.7880 3.7880 7.5351 Å, 90.00 90.00 90.00°
Element x y z (fractional)
Zn: 0.5000 0.5000 0.0000
Pr: 0.0000 0.0000 0.7675
Pr: 0.0000 0.0000 0.2325
Li: 0.5000 0.5000 0.5000

Values from the calculation:
ΔE to the lowest computed polymorph   0.000 eV per atom

***

(3)
Entry from the Alexandria database: a geometry-optimized RbBaCd2H6 structure (PBE-GGA).

Cell: 7.4297 7.4297 7.2661 Å, 100.37 100.37 106.52°
Element x y z (fractional)
H: 0.0677 0.6093 0.8222
H: 0.2033 0.1408 0.0720
H: 0.8592 0.7967 0.4280
H: 0.9323 0.3907 0.1778
H: 0.1408 0.2033 0.5720
H: 0.3907 0.9323 0.6778
H: 0.3169 0.4822 0.3783
H: 0.5178 0.6831 0.1217
H: 0.7967 0.8592 0.9280
H: 0.6831 0.5178 0.6217
H: 0.6093 0.0677 0.3222
H: 0.4822 0.3169 0.8783
Cd: 0.2547 0.0922 0.7733
Cd: 0.7453 0.9078 0.2267
Cd: 0.0922 0.2547 0.2733
Cd: 0.9078 0.7453 0.7267
Rb: 0.7976 0.2024 0.7500
Rb: 0.2024 0.7976 0.2500
Ba: 0.6015 0.3985 0.2500
Ba: 0.3985 0.6015 0.7500

***

(4)
Entry from the Alexandria database: a geometry-optimized CeCd20Pd2 structure (PBE-GGA).

Cell: 11.2266 11.2266 11.2266 Å, 60.00 60.00 60.00°
Element x y z (fractional)
Cd: 0.3879 0.3879 0.1121
Cd: 0.4235 0.9475 0.6814
Cd: 0.4235 0.6814 0.9475
Cd: 0.8621 0.1379 0.1379
Cd: 0.9475 0.6814 0.9475
Cd: 0.9475 0.4235 0.9475
Cd: 0.5686 0.8265 0.3025
Cd: 0.1379 0.8621 0.1379
Cd: 0.9475 0.9475 0.4235
Cd: 0.8265 0.3025 0.3025
Cd: 0.6250 0.6250 0.1250
Cd: 0.1121 0.3879 0.3879
Cd: 0.9475 0.4235 0.6814
Cd: 0.8621 0.8621 0.1379
Cd: 0.3025 0.3025 0.8265
Cd: 0.3025 0.5686 0.8265
Cd: 0.9475 0.6814 0.4235
Cd: 0.3025 0.8265 0.5686
Cd: 0.1121 0.1121 0.3879
Cd: 0.1250 0.6250 0.6250
Cd: 0.8621 0.1379 0.8621
Cd: 0.4235 0.9475 0.9475
Cd: 0.3879 0.1121 0.3879
Cd: 0.6814 0.9475 0.9475
Cd: 0.6250 0.6250 0.6250
Cd: 0.3025 0.8265 0.3025
Cd: 0.5686 0.3025 0.3025
Cd: 0.6814 0.9475 0.4235
Cd: 0.6250 0.1250 0.6250
Cd: 0.1121 0.3879 0.1121
Cd: 0.3879 0.1121 0.1121
Cd: 0.5686 0.3025 0.8265
Cd: 0.9475 0.9475 0.6814
Cd: 0.1379 0.8621 0.8621
Cd: 0.1379 0.1379 0.8621
Cd: 0.6814 0.4235 0.9475
Cd: 0.3025 0.5686 0.3025
Cd: 0.8265 0.3025 0.5686
Cd: 0.8265 0.5686 0.3025
Cd: 0.3025 0.3025 0.5686
Pd: 0.6250 0.1250 0.1250
Pd: 0.1250 0.1250 0.6250
Pd: 0.1250 0.1250 0.1250
Pd: 0.1250 0.6250 0.1250
Ce: 0.7500 0.7500 0.7500
Ce: 0.5000 0.5000 0.5000

***

(5)
Entry from the Alexandria database: a geometry-optimized AlCd2Tc structure (PBE-GGA).

Cell: 7.5488 7.5488 5.9776 Å, 50.85 50.85 90.00°
Element x y z (fractional)
Cd: 0.1319 0.6250 0.2500
Cd: 0.8750 0.8681 0.7500
Cd: 0.6181 0.1250 0.2500
Cd: 0.3750 0.3819 0.7500
Tc: 0.7500 0.2500 0.5000
Tc: 0.0000 0.0000 0.0000
Al: 0.5000 0.5000 0.0000
Al: 0.2500 0.7500 0.5000

***

(6)
Entry from the Alexandria database: a geometry-optimized P3Pb structure (PBE-GGA).

Cell: 12.1105 12.1105 12.1105 Å, 162.42 162.42 24.96°
Element x y z (fractional)
P: 0.7500 0.2500 0.5000
P: 0.9293 0.9293 0.0000
P: 0.2500 0.7500 0.5000
P: 0.0707 0.0707 0.0000
P: 0.5000 0.0000 0.5000
P: 0.0000 0.5000 0.5000
Pb: 0.6458 0.6458 0.0000
Pb: 0.3542 0.3542 0.0000

***

(7)
Entry from the Alexandria database: a geometry-optimized TiCuGe2 structure (PBE-GGA).

Cell: 4.4798 4.4798 4.4798 Å, 60.00 60.00 60.00°
Element x y z (fractional)
Ge: 0.2500 0.2500 0.2500
Ge: 0.7500 0.7500 0.7500
Cu: 0.5000 0.5000 0.5000
Ti: 0.0000 0.0000 0.0000

***

(8)
Entry from the Alexandria database: a geometry-optimized Ca2NdTmS4 structure (PBE-GGA).

Cell: 3.9632 6.8853 6.9726 Å, 109.08 90.00 90.00°
Element x y z (fractional)
S: 0.0000 0.2390 0.7485
S: 0.5000 0.2384 0.2440
S: 0.0000 0.7610 0.2515
S: 0.5000 0.7616 0.7560
Nd: 0.5000 0.5000 0.0000
Ca: 0.0000 0.5000 0.5000
Ca: 0.5000 0.0000 0.5000
Tm: 0.0000 0.0000 0.0000

Values from the calculation:
E_form (uncorrected)   -2.035 eV per atom

***

(9)
Entry from the Alexandria database: a geometry-optimized Tb2Nd6YHo structure (PBE-GGA).

Cell: 9.6879 8.9964 8.9964 Å, 118.17 93.82 93.82°
Element x y z (fractional)
Nd: 0.3116 0.9883 0.4342
Nd: 0.5536 0.7614 0.1202
Nd: 0.4464 0.2386 0.8798
Nd: 0.9464 0.8798 0.2386
Nd: 0.3819 0.5059 0.2904
Nd: 0.1884 0.5658 0.0117
Nd: 0.8116 0.4342 0.9883
Nd: 0.8819 0.2904 0.5059
Nd: 0.6884 0.0117 0.5658
Nd: 0.6181 0.4941 0.7096
Nd: 0.1181 0.7096 0.4941
Nd: 0.0536 0.1202 0.7614
Tb: 0.0449 0.3011 0.1998
Tb: 0.5449 0.1998 0.3011
Tb: 0.4551 0.8002 0.6989
Tb: 0.9551 0.6989 0.8002
Y: 0.2500 0.9740 0.0260
Y: 0.7500 0.0260 0.9740
Ho: 0.7500 0.5889 0.4111
Ho: 0.2500 0.4111 0.5889

***

(10)
Entry from the Alexandria database: a geometry-optimized NdYHgBi structure (PBE-GGA).

Cell: 5.4488 5.4488 5.4488 Å, 60.00 60.00 60.00°
Element x y z (fractional)
Hg: 0.5000 0.5000 0.5000
Nd: 0.2500 0.2500 0.2500
Bi: 0.0000 0.0000 0.0000
Y: 0.7500 0.7500 0.7500

***

(11)
Entry from the Alexandria database: a geometry-optimized CeHg2Bi2 structure (PBE-GGA).

Cell: 4.6934 4.5980 13.2951 Å, 90.00 100.17 90.00°
Element x y z (fractional)
Bi: 0.8596 0.7500 0.7192
Bi: 0.1404 0.2500 0.2808
Bi: 0.2498 0.7500 0.4995
Bi: 0.7502 0.2500 0.5005
Ce: 0.6460 0.7500 0.2920
Ce: 0.3540 0.2500 0.7080
Hg: 0.5437 0.2500 0.0873
Hg: 0.4563 0.7500 0.9127
Hg: 0.0459 0.7500 0.0918
Hg: 0.9541 0.2500 0.9082

Values from the calculation:
ΔE to the lowest computed polymorph   0.000 eV per atom

***

(12)
Entry from the Alexandria database: a geometry-optimized NbCuNi2 structure (PBE-GGA).

Cell: 4.3614 4.4741 5.2512 Å, 90.00 90.00 90.00°
Element x y z (fractional)
Ni: 0.0000 0.8297 0.7473
Ni: 0.0000 0.8297 0.2527
Ni: 0.5000 0.1703 0.7527
Ni: 0.5000 0.1703 0.2473
Nb: 0.5000 0.6637 0.5000
Nb: 0.0000 0.3363 0.0000
Cu: 0.5000 0.6887 0.0000
Cu: 0.0000 0.3113 0.5000

***

Result set for V: 477; 108; 367; 1001; 153; 162; 64; 180; 685; 114; 282; 102 Å³ per cell, one per record in the order listed.
Result set for total DFT energy (no corrections): -6.656; -3.305; -2.583; -1.670; -3.440; -4.612; -5.253; -5.754; -4.778; -4.400; -3.201; -6.608 eV/atom, one per record in the order listed.